(1)
Compound: OsAuSN2
Source: Alexandria via LeMat-Bulk
Functional: GGA-PBE
Structure: optimized geometry

Unit cell a=3.7546 b=3.7546 c=5.3926 alpha=90.00 beta=90.00 gamma=90.00
Last column: nearest neighbours and their distance in Å.
Fractional coordinates of all 5 atoms:
Os: 0.0000 0.0000 0.0000  4 N 1.88
Au: 0.5000 0.5000 0.5000  4 S 2.65
S: 0.0000 0.0000 0.5000  4 Au 2.65, 2 Os 2.70
N: 0.0000 0.5000 0.0000  2 Os 1.88
N: 0.5000 0.0000 0.0000  2 Os 1.88

Summary:
V in Å³ per cell: 76
Total energy in eV per cell: -31.6
Relative energy among the computed polymorphs in kJ per mole of atoms: 0.00
Crystal system: tetragonal
Energy relative to the elements, uncorrected in kJ/mol of formula units: 355

***

(2)
Compound: ReBiPCl2
Source: Alexandria via LeMat-Bulk
Functional: GGA-PBE
Structure: optimized geometry

Unit cell a=5.2375 b=5.2375 c=5.7523 alpha=90.00 beta=90.00 gamma=90.00
Last column: nearest neighbours and their distance in Å.
Fractional coordinates of all 5 atoms:
Re: 0.0000 0.0000 0.0000  4 P 3.70, 8 Cl 3.89
Bi: 0.5000 0.5000 0.5000  4 Cl 2.62, 2 P 2.88
P: 0.5000 0.5000 0.0000  2 Bi 2.88
Cl: 0.0000 0.5000 0.5000  2 Bi 2.62
Cl: 0.5000 0.0000 0.5000  2 Bi 2.62

Summary:
V in Å³ per cell: 158
Total energy in eV per cell: -19.2
Relative energy among the computed polymorphs in kJ per mole of atoms: 76.76
Crystal system: tetragonal
Energy relative to the elements, uncorrected in kJ/mol of formula units: 599

***

(3)
Compound: AlSiRu
Source: Alexandria via LeMat-Bulk
Functional: GGA-PBE
Structure: optimized geometry

Unit cell a=3.1977 b=3.1977 c=7.9595 alpha=90.00 beta=90.00 gamma=90.00
Last column: nearest neighbours and their distance in Å.
Fractional coordinates of all 6 atoms:
Al: 0.0000 0.0000 0.0000  5 Si 2.59-2.65, 5 Ru 2.60-2.65
Al: 0.5000 0.5000 0.5000  5 Si 2.59-2.65, 5 Ru 2.60-2.65
Si: 0.0000 0.0000 0.3252  5 Ru 2.56-2.77, 5 Al 2.59-2.65
Si: 0.5000 0.5000 0.8252  5 Ru 2.56-2.77, 5 Al 2.59-2.65
Ru: 0.0000 0.0000 0.6731  5 Si 2.56-2.77, 5 Al 2.60-2.65
Ru: 0.5000 0.5000 0.1731  5 Si 2.56-2.77, 5 Al 2.60-2.65

Summary:
V in Å³ per cell: 81
Total energy in eV per cell: -40.0
Crystal system: tetragonal
Energy relative to the elements, uncorrected in kJ/mol of formula units: -153

***

(4)
Compound: CrHgP
Source: Alexandria via LeMat-Bulk
Functional: GGA-PBE
Structure: optimized geometry

Unit cell a=3.4755 b=3.4755 c=5.5679 alpha=90.00 beta=90.00 gamma=120.00
Last column: nearest neighbours and their distance in Å.
Fractional coordinates of all 3 atoms:
Cr: 0.0000 0.0000 0.0000  3 P 2.33
Hg: 0.3333 0.6667 0.3848  3 Cr 2.94, 3 P 3.01
P: 0.6667 0.3333 0.7867  3 Cr 2.33

Summary:
V in Å³ per cell: 58
Total energy in eV per cell: -14.9
Relative energy among the computed polymorphs in kJ per mole of atoms: 22.30
Crystal system: trigonal
Energy relative to the elements in eV/atom: 0.1553